[1]
Here is LiIrBr2 after structural relaxation from Alexandria. Energies are from PBE.

Cell and atoms, written as POSCAR:
```
LiIrBr2
1.0
7.4497 0.0391 -0.1057
6.6107 3.4349 -0.1057
0.2884 0.0712 3.6137
Li Br Ir
1 2 1
Direct
0.7997 0.7997 0.7987
0.9942 0.9942 0.9168
0.2604 0.2604 0.3125
0.4457 0.4457 0.4720
```

Computed properties:
* space-group type: Cm (8)
* ΔE to the lowest computed polymorph: 288 meV per atom
* E_form (uncorrected): -29 meV per atom

***

[2]
Here is LaCoTe2 after structural relaxation from Alexandria. Energies are from PBE.

Cell and atoms, written as POSCAR:
```
LaCoTe2
1.0
-0.2618 -4.7385 -2.3200
-4.5856 -1.7235 -1.9763
-0.6580 -0.3475 -5.2298
La Co Te
1 1 2
Direct
0.5000 0.5000 0.5000
0.0000 0.0000 0.0000
0.7500 0.7500 0.7500
0.2500 0.2500 0.2500
```

Computed properties:
* space-group type: Fm-3m (225)
* E_form (uncorrected): -398 meV per atom

***

[3]
Here is NbNi3Ru after structural relaxation from Alexandria. Energies are from PBE.

Cell and atoms, written as POSCAR:
```
NbNi3Ru
1.0
4.3789 0.0000 0.0000
0.0000 4.3789 0.0000
0.0000 0.0000 4.3789
Ni Nb Ru
3 1 1
Direct
0.5000 0.0000 0.0000
0.0000 0.0000 0.5000
0.0000 0.5000 0.0000
0.5000 0.5000 0.5000
0.0000 0.0000 0.0000
```

Computed properties:
* calculated formation energy: 1.298 eV per atom
* space-group type: Pm-3m (221)
* ΔE to the lowest computed polymorph: 0 meV per atom

***

[4]
Here is CaLa2GaIr after structural relaxation from Alexandria. Energies are from PBE.

Cell and atoms, written as POSCAR:
```
CaLa2GaIr
1.0
-2.6029 2.2965 4.2854
0.5473 -4.6916 2.8466
4.8590 1.7790 1.9979
La Ga Ir Ca
2 1 1 1
Direct
0.0000 0.5000 0.0000
0.5000 0.0000 0.0000
0.5000 0.5000 0.5000
0.0000 0.0000 0.0000
0.0000 0.0000 0.5000
```

Computed properties:
* calculated formation energy: -0.328 eV per atom
* space-group type: P4/mmm (123)
* ΔE to the lowest computed polymorph: 45 meV per atom

***

[5]
Here is Sc3Pt after structural relaxation from Alexandria. Energies are from PBE.

Cell and atoms, written as POSCAR:
```
Sc3Pt
1.0
3.4924 0.0000 0.0000
-1.7462 3.0245 0.0000
0.0000 0.0000 8.7463
Pt Sc
1 3
Direct
0.0000 0.0000 0.0000
0.3333 0.6667 0.7968
0.0000 0.0000 0.5000
0.3333 0.6667 0.2032
```

Computed properties:
* calculated formation energy: -0.483 eV per atom
* space-group type: P-6m2 (187)

***

[6]
Here is NaPr4Sn15 after structural relaxation from Alexandria. Energies are from PBE.

Cell and atoms, written as POSCAR:
```
NaPr4Sn15
1.0
-0.4824 4.6567 -0.7445
-4.3754 -0.7211 -1.6755
-9.0304 2.6524 22.4413
Sn Pr Na
15 4 1
Direct
0.5000 0.0000 0.9031
0.5000 0.0000 0.5000
0.5000 0.5000 0.8031
0.0000 0.5000 0.5000
0.0000 0.5000 0.0969
0.5000 0.0000 0.0969
0.0000 0.5000 0.2997
0.5000 0.5000 0.1969
0.5000 0.0000 0.2997
0.5000 0.5000 0.0000
0.0000 0.5000 0.7003
0.5000 0.0000 0.7003
0.5000 0.5000 0.4003
0.5000 0.5000 0.5997
0.0000 0.5000 0.9031
0.0000 0.0000 0.2018
0.0000 0.0000 0.7982
0.0000 0.0000 0.3999
0.0000 0.0000 0.6001
0.0000 0.0000 0.0000
```

Computed properties:
* calculated formation energy: -0.426 eV per atom
* space-group type: P4/mmm (123)

***

[7]
Here is Sc2VCuPt after structural relaxation from Alexandria. Energies are from PBE.

Cell and atoms, written as POSCAR:
```
Sc2VCuPt
1.0
4.7519 0.0000 0.0000
0.0000 4.3456 0.0000
0.0000 0.0000 4.7519
V Sc Pt Cu
1 2 1 1
Direct
0.0000 0.0000 0.0000
0.5000 0.0000 0.0000
0.0000 0.0000 0.5000
0.5000 0.5000 0.5000
0.0000 0.5000 0.0000
```

Computed properties:
* calculated formation energy: 0.642 eV per atom
* space-group type: P4/mmm (123)

***

[8]
Here is BeTcIr2 after structural relaxation from Alexandria. Energies are from PBE.

Cell and atoms, written as POSCAR:
```
BeTcIr2
1.0
-0.0019 2.6018 -0.8830
-1.1634 -1.1549 -3.4006
-4.9618 0.5133 1.5232
Tc Be Ir
1 1 2
Direct
0.0000 0.0000 0.4921
0.5000 0.5000 0.7758
0.0000 0.0000 0.9585
0.5000 0.5000 0.2737
```

Computed properties:
* calculated formation energy: -0.106 eV per atom
* space-group type: Pmm2 (25)

***

Number 1: total magnetic moment 0.00 μB/cell, N(E_F) 2.28 states/eV/f.u.. Number 2: total magnetic moment 2.00 μB/cell, N(E_F) 5.19 states/eV/f.u.. Number 3: total magnetic moment 0.00 μB/cell, N(E_F) 10.74 states/eV/f.u.. Number 4: total magnetic moment 0.00 μB/cell, N(E_F) 4.98 states/eV/f.u.. Number 5: total magnetic moment 0.37 μB/cell, N(E_F) 5.56 states/eV/f.u.. Number 6: total magnetic moment 0.00 μB/cell, N(E_F) 8.72 states/eV/f.u.. Number 7: total magnetic moment 0.00 μB/cell, N(E_F) 6.40 states/eV/f.u.. Number 8: total magnetic moment 0.00 μB/cell, N(E_F) 3.84 states/eV/f.u..